FeNiPt2 | PBE | relaxed

a = 4.594 Å, b = 4.594 Å, c = 4.709 Å
α = 79.97°, β = 79.97°, γ = 34.67°
Last column: magnetic moment on the atom in μB.
Positions (direct):
1 Fe 0.750 0.750 0.750  3.05
2 Pt 0.000 0.000 0.001  0.24
3 Pt 0.500 0.500 0.499  0.24
4 Ni 0.250 0.250 0.250  0.74

* formation energy: -0.553 eV per formula unit
* space-group type: No. 12

***

CaDy2NpN4 | PBE | relaxed

a = 3.481 Å, b = 5.973 Å, c = 5.964 Å
α = 108.31°, β = 90.00°, γ = 90.00°
Last column: magnetic moment on the atom in μB.
Positions (direct):
1 Dy 0.000 0.500 0.500  0.14
2 Dy 0.500 0.000 0.500  0.07
3 Ca 0.500 0.500 0.000  0.02
4 N 0.500 0.757 0.749  -0.09
5 N 0.000 0.780 0.240  -0.09
6 N 0.000 0.220 0.760  -0.09
7 N 0.500 0.243 0.251  -0.09
8 Np 0.000 0.000 0.000  2.78

* formation energy from raw total energies: -1.405 eV/atom
* space-group type: No. 10

***

CuP2S2Cl2 | PBE | relaxed

a = 3.210 Å, b = 9.223 Å, c = 7.593 Å
α = 63.42°, β = 77.73°, γ = 69.42°
Last column: magnetic moment on the atom in μB.
Positions (direct):
1 Cl 0.554 0.063 0.765  0.16
2 Cl 0.446 0.937 0.235  0.16
3 P 0.623 0.425 0.906  0.00
4 P 0.377 0.575 0.094  0.00
5 Cu 0.000 0.000 0.000  0.42
6 S 0.072 0.570 0.715  0.00
7 S 0.928 0.430 0.285  0.00

* formation energy from raw total energies: -0.254 eV/atom
* space-group type: No. 2

***

TaWCl2 | PBE | relaxed

a = 2.971 Å, b = 2.971 Å, c = 9.052 Å
α = 90.00°, β = 90.00°, γ = 90.00°
Positions (direct):
1 Ta 0.000 0.000 0.515
2 Cl 0.500 0.500 0.330
3 Cl 0.000 0.000 0.918
4 W 0.500 0.500 0.736

* formation energy from raw total energies: -0.119 eV/atom
* space-group type: No. 99